Entry from Alexandria via LeMat-Bulk: crystalline La5Re at its relaxed geometry (PBE).

Cell: 12.9779 3.7124 8.4947 Å, 90.00 109.63 90.00°
Space group Cm (No. 8)
Symmetry-distinct sites (fractional):
1 La 0.0000 0.0000 0.0000 [2 per cell]
2 La 0.0200 0.0000 0.4160 [2 per cell]
3 La 0.1534 0.5000 0.7839 [2 per cell]
4 La 0.2885 0.0000 0.1512 [2 per cell]
5 La 0.3082 0.0000 0.5674 [2 per cell]
6 Re 0.1542 0.5000 0.2834 [2 per cell]

D(E_F) ... 15.512 states/eV/cell
E_form ... 0.13 eV per atom
VASP energy ... -6.05 eV/atom